No. 1
## Ti2NiS (PBE)

Data for crystalline Ti2NiS at its relaxed geometry.

As for the crystal system: tetragonal. As for the total magnetization: 0.00 μB/f.u. The calculated volume comes out at 240.5 Å³ per cell. The energy relative to the elements, uncorrected comes out at -0.423 eV per atom.

It has space group I-42d (No. 122), with a = 6.510 Å, b = 6.510 Å, c = 5.676 Å, α = 90.00°, β = 90.00° and γ = 90.00°. Symmetry generates all atoms from Ti at (0.242, 0.250, 0.125), Ni at (0.000, 0.000, 0.500) and S at (0.000, 0.000, 0.000).

***

No. 2
## TiNi3S (PBE)

Data for crystalline TiNi3S at its relaxed geometry.

As for the crystal system: cubic. As for the total magnetization: 1.53 μB/f.u. The calculated volume comes out at 70.4 Å³ per cell. The energy relative to the elements, uncorrected comes out at 0.007 eV per atom. The value obtained for the energy above the most stable polymorph in this dataset is 0.0 meV/atom.

It has space group Pm-3m (No. 221), with a = 4.130 Å, b = 4.130 Å, c = 4.130 Å, α = 90.00°, β = 90.00° and γ = 90.00°. Symmetry generates all atoms from Ti at (0.000, 0.000, 0.000), Ni at (0.000, 0.500, 0.500) and S at (0.500, 0.500, 0.500).

***

No. 3
## TiNiS2 (PBE)

Data for crystalline TiNiS2 at its relaxed geometry.

As for the crystal system: trigonal. As for the total magnetization: 0.23 μB/f.u. The calculated volume comes out at 210.9 Å³ per cell. The energy relative to the elements, uncorrected comes out at -0.764 eV per atom. The value obtained for the energy above the most stable polymorph in this dataset is 154.4 meV/atom.

It has space group R-3m (No. 166, hexagonal axes), with a = 3.3642 Å, b = 3.3642 Å, c = 21.5157 Å, α = 90.00°, β = 90.00° and γ = 120.00°. Symmetry generates all atoms from Ti at (0.0000, 0.0000, 0.0000), Ni at (0.0000, 0.0000, 0.5000) and S at (0.0000, 0.0000, 0.4014).

***

No. 4
## TiNiS2 (PBE)

Data for crystalline TiNiS2 at its relaxed geometry.

As for the crystal system: tetragonal. As for the total magnetization: 0.00 μB/f.u. The calculated volume comes out at 289.9 Å³ per cell. The energy relative to the elements, uncorrected comes out at -0.839 eV per atom. The value obtained for the energy above the most stable polymorph in this dataset is 79.4 meV/atom.

It has space group I-42d (No. 122), with a = 5.229 Å, b = 5.229 Å, c = 10.603 Å, α = 90.00°, β = 90.00° and γ = 90.00°. Symmetry generates all atoms from Ti at (0.000, 0.000, 0.000), Ni at (0.000, 0.000, 0.500) and S at (0.232, 0.250, 0.625).

***

No. 5
## TiNiS2 (PBE)

Data for crystalline TiNiS2 at its relaxed geometry.

As for the crystal system: trigonal. As for the total magnetization: 0.00 μB/f.u. The calculated volume comes out at 172.6 Å³ per cell. The energy relative to the elements, uncorrected comes out at -0.850 eV per atom. The value obtained for the energy above the most stable polymorph in this dataset is 69.0 meV/atom.

It has space group R3m (No. 160, hexagonal axes), with a = 3.3581 Å, b = 3.3581 Å, c = 17.6745 Å, α = 90.00°, β = 90.00° and γ = 120.00°. Symmetry generates all atoms from Ti at (0.0000, 0.0000, 0.0000), Ni at (0.0000, 0.0000, 0.1560), S at (0.0000, 0.0000, 0.5757) and S at (0.0000, 0.0000, 0.7493).

***

No. 6
## TiNiS2 (PBE)

Data for crystalline TiNiS2 at its relaxed geometry.

As for the crystal system: trigonal. As for the total magnetization: 0.00 μB/f.u. The calculated volume comes out at 84.2 Å³ per cell. The energy relative to the elements, uncorrected comes out at -0.914 eV per atom. The value obtained for the energy above the most stable polymorph in this dataset is 4.5 meV/atom.

It has space group P3m1 (No. 156), with a = 3.8194 Å, b = 3.8194 Å, c = 6.6688 Å, α = 90.00°, β = 90.00° and γ = 120.00°. Symmetry generates all atoms from Ti at (0.0000, 0.0000, 0.0000), Ni at (0.3333, 0.6667, 0.2174), S at (0.0000, 0.0000, 0.3313) and S at (0.3333, 0.6667, 0.8713).

***

No. 7
## TiNi2S (PBE)

Data for crystalline TiNi2S at its relaxed geometry.

As for the crystal system: tetragonal. As for the total magnetization: 0.00 μB/f.u. The calculated volume comes out at 211.0 Å³ per cell. The energy relative to the elements, uncorrected comes out at -0.320 eV per atom.

It has space group I-42d (No. 122), with a = 3.487 Å, b = 3.487 Å, c = 17.360 Å, α = 90.00°, β = 90.00° and γ = 90.00°. Symmetry generates all atoms from Ti at (0.000, 0.000, 0.000), Ni at (0.240, 0.250, 0.625) and S at (0.000, 0.000, 0.500).

***

No. 8
## Ti4NiS8 (PBE)

Data for crystalline Ti4NiS8 at its relaxed geometry.

As for the crystal system: monoclinic. As for the total magnetization: 0.00 μB/f.u. The calculated volume comes out at 454.4 Å³ per cell. The energy relative to the elements, uncorrected comes out at -1.217 eV per atom. The value obtained for the energy above the most stable polymorph in this dataset is 0.0 meV/atom.

It has space group C2/m (No. 12), with a = 11.359 Å, b = 6.815 Å, c = 8.127 Å, α = 90.00°, β = 133.76° and γ = 90.00°. Symmetry generates all atoms from Ti at (0.000, 0.244, 0.000), Ti at (0.242, 0.000, 0.497), Ni at (0.000, 0.500, 0.500), S at (0.037, 0.500, 0.828), S at (0.045, 0.000, 0.834) and S at (0.205, 0.254, 0.667).

***

No. 9
## TiNi6S8 (PBE)

Data for crystalline TiNi6S8 at its relaxed geometry.

As for the crystal system: trigonal. As for the total magnetization: 0.00 μB/f.u. The calculated volume comes out at 657.4 Å³ per cell. The energy relative to the elements, uncorrected comes out at -0.374 eV per atom.

It has space group R-3 (No. 148, hexagonal axes), with a = 8.6631 Å, b = 8.6631 Å, c = 10.1149 Å, α = 90.00°, β = 90.00° and γ = 120.00°. Symmetry generates all atoms from Ti at (0.0000, 0.0000, 0.0000), Ni at (0.0254, 0.1988, 0.3872), S at (0.0000, 0.0000, 0.2347) and S at (0.0012, 0.6070, 0.7449).

***

No. 10
## TiNiS2 (PBE)

Data for crystalline TiNiS2 at its relaxed geometry.

As for the crystal system: orthorhombic. As for the total magnetization: 0.00 μB/f.u. The calculated volume comes out at 220.3 Å³ per cell. The energy relative to the elements, uncorrected comes out at -0.919 eV per atom. The value obtained for the energy above the most stable polymorph in this dataset is 0.0 meV/atom.

It has space group Pnma (No. 62), with a = 5.680 Å, b = 3.265 Å, c = 11.877 Å, α = 90.00°, β = 90.00° and γ = 90.00°. Symmetry generates all atoms from Ti at (0.004, 0.250, 0.163), Ni at (0.024, 0.750, 0.595), S at (0.167, 0.750, 0.303) and S at (0.210, 0.750, 0.037).

***

No. 11
## Ti2Tl2NiS6 (PBE)

Data for crystalline Ti2Tl2NiS6 at its relaxed geometry.

As for the crystal system: monoclinic. As for the total magnetization: 1.99 μB/f.u. The calculated volume comes out at 485.6 Å³ per cell. The energy relative to the elements, uncorrected comes out at -0.817 eV per atom.

It has space group C2/m (No. 12), with a = 6.072 Å, b = 10.544 Å, c = 7.872 Å, α = 90.00°, β = 105.51° and γ = 90.00°. Symmetry generates all atoms from Ti at (0.000, 0.168, 0.000), Tl at (0.000, 0.332, 0.500), Ni at (0.000, 0.500, 0.000), S at (0.228, 0.336, 0.179) and S at (0.232, 0.000, 0.178).

***

No. 12
## UTiNiS4 (PBE)

Data for crystalline UTiNiS4 at its relaxed geometry.

As for the crystal system: orthorhombic. As for the total magnetization: 1.95 μB/f.u. The calculated volume comes out at 542.1 Å³ per cell. The energy relative to the elements, uncorrected comes out at -1.122 eV per atom.

It has space group Imma (No. 74), with a = 7.062 Å, b = 7.633 Å, c = 10.058 Å, α = 90.00°, β = 90.00° and γ = 90.00°. Symmetry generates all atoms from U at (0.000, 0.000, 0.000), Ti at (0.250, 0.250, 0.250), Ni at (0.000, 0.250, 0.641), S at (0.000, 0.019, 0.262) and S at (0.239, 0.250, 0.496).

***

- What is the energy relative to the elements, uncorrected in the sixth record?
  -0.914 eV per atom

***

- Among the records above, which one has the highest energy relative to the elements, uncorrected?
  TiNi3S

***

- What is the formula in the ninth record?
  TiNi6S8

***

- What is the calculated volume in the seventh record?
  211.0 Å³ per cell